[1]
Material: K2Pb3Au2
Method: DFT, PBE
State: optimized geometry

Unit cell a=6.5931 b=6.5931 c=8.6727 alpha=116.11 beta=116.11 gamma=41.51
Last column: nearest neighbours and their distance in Å.
Positions (direct):
K  0.1486  0.1486  0.2955  4 Au 3.45-3.79, 3 Pb 3.76-3.83
K  0.8514  0.8514  0.7045  4 Au 3.45-3.79, 3 Pb 3.76-3.83
Pb  0.3676  0.3676  0.0548  3 Au 2.93-3.04
Pb  0.5000  0.5000  0.5000  4 Au 3.00
Pb  0.6324  0.6324  0.9452  3 Au 2.93-3.04
Au  0.1374  0.1374  0.7247  5 Pb 2.93-3.04
Au  0.8626  0.8626  0.2753  5 Pb 2.93-3.04

Output
D(E_F) = 3.139 states/eV per cell
Crystal system = monoclinic
Theoretical density = 8.2 Mg/m³
Energy of formation from the pure elements = -0.196 eV/atom

=====

[2]
Material: YI2NO
Method: DFT, PBE
State: optimized geometry

Unit cell a=4.9013 b=4.9013 c=4.2222 alpha=90.00 beta=90.00 gamma=90.00
Last column: nearest neighbours and their distance in Å.
Positions (direct):
Y  0.0000  0.0000  0.0000  8 I 3.23, 4 N 3.47
I  0.0000  0.5000  0.5000  2 O 2.45
I  0.5000  0.0000  0.5000  2 O 2.45
N  0.5000  0.5000  0.0000  2 O 2.11
O  0.5000  0.5000  0.5000  2 N 2.11

Output
D(E_F) = 2.418 states/eV per cell
Raw formation energy = 0.634 eV per atom
Crystal system = tetragonal
Distance to the lowest polymorph of the same formula = 745.4 meV per atom
Theoretical density = 6.1 Mg/m³

=====

[3]
Material: LiCrFe3
Method: DFT, PBE
State: optimized geometry

Unit cell a=4.2601 b=4.2601 c=4.2601 alpha=90.00 beta=90.00 gamma=90.00
Last column: nearest neighbours and their distance in Å.
Positions (direct):
Li  0.0000  0.0000  0.0000  12 Fe 3.01
Cr  0.5000  0.5000  0.5000  6 Fe 2.13
Fe  0.0000  0.5000  0.5000  2 Cr 2.13
Fe  0.5000  0.0000  0.5000  2 Cr 2.13
Fe  0.5000  0.5000  0.0000  2 Cr 2.13

Output
D(E_F) = 5.225 states/eV per cell
Crystal system = cubic
Distance to the lowest polymorph of the same formula = 0.0 meV per atom
Theoretical density = 4.9 Mg/m³
Energy of formation from the pure elements = 1.010 eV/atom

=====

[4]
Material: Ba2YCu2HgO7
Method: DFT, PBE
State: optimized geometry

Unit cell a=3.8761 b=3.8761 c=12.7806 alpha=90.00 beta=90.00 gamma=90.00
Last column: nearest neighbours and their distance in Å.
Positions (direct):
Ba  0.0000  0.0000  0.2019  5 O 2.58-2.78
Ba  0.0000  0.0000  0.7981  5 O 2.58-2.78
Y  0.0000  0.0000  0.5000  8 O 2.41
Cu  0.5000  0.5000  0.3682  4 O 1.95
Cu  0.5000  0.5000  0.6318  4 O 1.95
Hg  0.5000  0.5000  0.0000  2 O 2.13
O  0.0000  0.0000  0.0000  2 Ba 2.58, 4 Hg 2.74
O  0.0000  0.5000  0.3876  2 Cu 1.95
O  0.0000  0.5000  0.6124  2 Cu 1.95
O  0.5000  0.0000  0.3876  2 Cu 1.95
O  0.5000  0.0000  0.6124  2 Cu 1.95
O  0.5000  0.5000  0.1663  1 Hg 2.13
O  0.5000  0.5000  0.8337  1 Hg 2.13

Output
D(E_F) = 3.829 states/eV per cell
Raw formation energy = -1.712 eV per atom
Crystal system = tetragonal
Theoretical density = 6.9 Mg/m³

=====

theoretical density of number 3 (LiCrFe3)? 4.9 Mg/m³

=====

Which of these has the lowest D(E_F)? YI2NO

=====

The lowest D(E_F) belongs to which entry? YI2NO